The following is a DFT calculation (PBE) of an optimized crystal structure of ZnTe2RuN.

Unit cell a=5.4933 b=5.4933 c=3.6318 alpha=90.00 beta=90.00 gamma=90.00
Last column: nearest neighbours and their distance in Å.
Element x y z (fractional)
Zn  0.0000  0.0000  0.0000  8 Te 3.29, 2 Zn 3.63
Te  0.0000  0.5000  0.5000  2 Ru 2.75
Te  0.5000  0.0000  0.5000  2 Ru 2.75
Ru  0.5000  0.5000  0.5000  2 N 1.82
N  0.5000  0.5000  0.0000  2 Ru 1.82

**Formation energy from raw total energies**: 333.3 meV/atom
**SG**: P4/mmm (123)
**Offset from the most stable computed form**: 0.000 eV per atom

---

The following is a DFT calculation (PBE) of an optimized crystal structure of NiPb2Br.

Unit cell a=3.4743 b=3.4743 c=8.0860 alpha=90.00 beta=90.00 gamma=90.27
Last column: nearest neighbours and their distance in Å.
Element x y z (fractional)
Ni  0.0000  0.0000  0.0000  8 Pb 2.97-2.98
Pb  0.5000  0.5000  0.2071  4 Ni 2.97-2.98
Pb  0.5000  0.5000  0.7929  4 Ni 2.97-2.98
Br  0.0000  0.0000  0.5000  8 Pb 3.41-3.42, 4 Br 3.47

**Formation energy from raw total energies**: -13.6 meV/atom
**SG**: Cmmm (65)
**Offset from the most stable computed form**: 0.079 eV per atom

---

The following is a DFT calculation (PBE) of an optimized crystal structure of La16Co5Os3.

Unit cell a=8.2078 b=8.2078 c=13.1270 alpha=90.15 beta=90.15 gamma=60.24
Last column: nearest neighbours and their distance in Å.
Element x y z (fractional)
La  0.0000  0.0000  0.0000  2 Co 2.76, 1 Os 2.81
La  0.0010  0.0010  0.5041  1 Co 2.77, 2 Os 2.82
La  0.0323  0.4933  0.0155  2 Co 2.79-2.85, 1 Os 2.85
La  0.1670  0.6712  0.2720  2 Co 2.81-2.82, 1 Os 2.84
La  0.1714  0.1714  0.2688  2 Os 2.85, 1 Co 2.88
La  0.3380  0.3380  0.7767  2 Co 2.79, 1 Os 2.82
La  0.3385  0.8339  0.7711  2 Co 2.82-2.83, 1 Os 2.84
La  0.4906  0.4906  0.0134  3 Co 2.78-2.81
La  0.4933  0.0323  0.0155  2 Co 2.79-2.85, 1 Os 2.85
La  0.5179  0.5179  0.5167  2 Os 2.84, 1 Co 2.94
La  0.5203  0.9798  0.5158  2 Co 2.80-2.87, 1 Os 2.85
La  0.6701  0.6701  0.2744  1 Co 2.81, 2 Os 2.83
La  0.6712  0.1670  0.2720  2 Co 2.81-2.82, 1 Os 2.84
La  0.8339  0.3385  0.7711  2 Co 2.82-2.83, 1 Os 2.84
La  0.8362  0.8362  0.7735  3 Co 2.70-2.81
La  0.9798  0.5203  0.5158  2 Co 2.80-2.87, 1 Os 2.85
Co  0.1695  0.6703  0.8889  6 La 2.76-2.83
Co  0.3432  0.3432  0.1526  6 La 2.78-2.88
Co  0.6703  0.1695  0.8889  6 La 2.76-2.83
Co  0.6771  0.6771  0.6600  6 La 2.70-2.94
Co  0.8367  0.8367  0.3904  6 La 2.77-2.82
Os  0.1689  0.1689  0.8889  6 La 2.81-2.85
Os  0.3352  0.8389  0.3895  6 La 2.82-2.85
Os  0.8389  0.3352  0.3895  6 La 2.82-2.85

**SG**: Cm (8)
**ΔE_f**: -109 meV/atom

---

The following is a DFT calculation (PBE) of an optimized crystal structure of K2Ba2RhO6.

Unit cell a=6.3495 b=6.3495 c=6.5669 alpha=96.76 beta=96.76 gamma=118.43
Last column: nearest neighbours and their distance in Å.
Element x y z (fractional)
K  0.1446  0.8554  0.0000  4 O 2.64-2.68
K  0.8554  0.1446  0.0000  4 O 2.64-2.68
Ba  0.3384  0.6616  0.5000  6 O 2.65-2.69
Ba  0.6616  0.3384  0.5000  6 O 2.65-2.69
Rh  0.0000  0.0000  0.5000  6 O 2.00
O  0.0393  0.3028  0.6727  1 Rh 2.00
O  0.2031  0.2031  0.3123  1 Rh 2.00
O  0.3028  0.0393  0.6727  1 Rh 2.00
O  0.6972  0.9607  0.3273  1 Rh 2.00
O  0.7969  0.7969  0.6877  1 Rh 2.00
O  0.9607  0.6972  0.3273  1 Rh 2.00

**Formation energy from raw total energies**: -1515.2 meV/atom
**SG**: C2/m (12)

---

The following is a DFT calculation (PBE) of an optimized crystal structure of OsPt3.

Unit cell a=5.2497 b=5.2497 c=4.7498 alpha=90.00 beta=90.00 gamma=89.31
Last column: nearest neighbours and their distance in Å.
Element x y z (fractional)
Os  0.0716  0.9284  0.7500  5 Pt 2.58-2.74, 2 Os 2.60
Os  0.9284  0.0716  0.2500  5 Pt 2.58-2.74, 2 Os 2.60
Pt  0.0764  0.5704  0.2500  5 Pt 2.62-2.74, 2 Os 2.73-2.74
Pt  0.4216  0.5784  0.7500  1 Os 2.58, 6 Pt 2.64-2.74
Pt  0.4296  0.9236  0.2500  5 Pt 2.62-2.74, 2 Os 2.73-2.74
Pt  0.5704  0.0764  0.7500  5 Pt 2.62-2.74, 2 Os 2.73-2.74
Pt  0.5784  0.4216  0.2500  1 Os 2.58, 6 Pt 2.64-2.74
Pt  0.9236  0.4296  0.7500  5 Pt 2.62-2.74, 2 Os 2.73-2.74

**SG**: Cmcm (63)
**ΔE_f**: 308 meV/atom

---

The following is a DFT calculation (PBE) of an optimized crystal structure of IrAu2Cl.

Unit cell a=2.8703 b=3.4051 c=8.3014 alpha=90.00 beta=97.50 gamma=90.00
Last column: nearest neighbours and their distance in Å.
Element x y z (fractional)
Ir  0.0000  0.0000  0.0000  2 Cl 2.28
Au  0.1666  0.0000  0.4368  6 Au 2.87-2.88
Au  0.5821  0.5000  0.2147  4 Ir 2.84, 6 Au 2.87-2.88
Cl  0.9295  0.5000  0.8153  2 Ir 2.28

**Formation energy from raw total energies**: 362.5 meV/atom
**SG**: Pm (6)
**Offset from the most stable computed form**: 0.014 eV per atom

---

The following is a DFT calculation (PBE) of an optimized crystal structure of Dy3Ni8Ir.

Unit cell a=8.6339 b=8.6339 c=8.6339 alpha=33.51 beta=33.51 gamma=33.51
Last column: nearest neighbours and their distance in Å.
Element x y z (fractional)
Dy  0.0000  0.0000  0.0000  12 Ni 2.76-3.00, 3 Ir 2.95
Dy  0.1308  0.1308  0.1308  12 Ni 2.92-2.96, 4 Dy 3.18-3.19
Dy  0.5198  0.5198  0.5198  9 Ni 2.78-2.99, 1 Ir 2.94
Ni  0.0667  0.5691  0.5691  6 Ni 2.47-2.52, 1 Ir 2.72
Ni  0.0724  0.0724  0.5671  6 Ni 2.46-2.52
Ni  0.0724  0.5671  0.0724  6 Ni 2.46-2.52
Ni  0.3194  0.3194  0.3194  6 Ni 2.46-2.47
Ni  0.5671  0.0724  0.0724  6 Ni 2.46-2.52
Ni  0.5691  0.0667  0.5691  6 Ni 2.47-2.52, 1 Ir 2.72
Ni  0.5691  0.5691  0.0667  6 Ni 2.47-2.52, 1 Ir 2.72
Ni  0.8199  0.8199  0.8199  6 Ni 2.51-2.52
Ir  0.6401  0.6401  0.6401  12 Ni 2.72-3.01, 4 Dy 2.94-2.95

**SG**: R3m (160)
**ΔE_f**: -358 meV/atom

---

The following is a DFT calculation (PBE) of an optimized crystal structure of Ba2SiMo.

Unit cell a=5.1344 b=5.1344 c=4.7511 alpha=90.00 beta=90.00 gamma=90.00
Last column: nearest neighbours and their distance in Å.
Element x y z (fractional)
Ba  0.0000  0.5000  0.0000  4 Mo 3.50, 4 Si 3.50, 4 Ba 3.63
Ba  0.5000  0.0000  0.0000  4 Mo 3.50, 4 Si 3.50, 4 Ba 3.63
Si  0.0000  0.0000  0.5000  8 Ba 3.50, 4 Mo 3.63
Mo  0.5000  0.5000  0.5000  8 Ba 3.50, 4 Si 3.63

**Formation energy from raw total energies**: 776.6 meV/atom
**SG**: P4/mmm (123)

---

The following is a DFT calculation (PBE) of an optimized crystal structure of CdTc3.

Unit cell a=3.9728 b=3.9728 c=3.9728 alpha=90.00 beta=90.00 gamma=90.00
Last column: nearest neighbours and their distance in Å.
Element x y z (fractional)
Cd  0.0000  0.0000  0.0000  12 Tc 2.81
Tc  0.0000  0.5000  0.5000  4 Cd 2.81, 8 Tc 2.81
Tc  0.5000  0.0000  0.5000  4 Cd 2.81, 8 Tc 2.81
Tc  0.5000  0.5000  0.0000  4 Cd 2.81, 8 Tc 2.81

**SG**: Pm-3m (221)
**ΔE_f**: 549 meV/atom
**Offset from the most stable computed form**: 0.348 eV per atom

---

The following is a DFT calculation (PBE) of an optimized crystal structure of SrAgN.

Unit cell a=4.0274 b=5.5572 c=5.5572 alpha=90.06 beta=90.00 gamma=90.00
Last column: nearest neighbours and their distance in Å.
Element x y z (fractional)
Sr  0.0000  0.2051  0.7949  4 N 2.64-2.89
Sr  0.0000  0.7949  0.2051  4 N 2.64-2.89
Ag  0.5000  0.3276  0.3276  1 N 2.02
Ag  0.5000  0.6747  0.6747  2 N 2.04
N  0.0000  0.7189  0.7189  2 Ag 2.04
N  0.5000  0.0700  0.0700  1 Ag 2.02

**Formation energy from raw total energies**: -63.7 meV/atom
**SG**: Amm2 (38)

---

The following is a DFT calculation (PBE) of an optimized crystal structure of Mn2SeCl.

Unit cell a=6.5015 b=6.5015 c=6.5015 alpha=34.84 beta=34.84 gamma=34.84
Last column: nearest neighbours and their distance in Å.
Element x y z (fractional)
Mn  0.2364  0.2364  0.2364  3 Se 2.58, 3 Cl 2.86
Mn  0.7636  0.7636  0.7636  3 Se 2.58, 3 Cl 2.86
Se  0.5000  0.5000  0.5000  6 Mn 2.58
Cl  0.0000  0.0000  0.0000  6 Mn 2.86

**Formation energy from raw total energies**: -267.6 meV/atom
**SG**: R-3m (166)
**Offset from the most stable computed form**: 0.062 eV per atom

---

The following is a DFT calculation (PBE) of an optimized crystal structure of ZrReSnI2.

Unit cell a=5.3297 b=5.3297 c=5.2084 alpha=90.00 beta=90.00 gamma=90.00
Last column: nearest neighbours and their distance in Å.
Element x y z (fractional)
Zr  0.0000  0.0000  0.0000  2 Re 2.60
Re  0.0000  0.0000  0.5000  2 Zr 2.60, 4 I 2.66
Sn  0.5000  0.5000  0.0000  8 I 3.73, 4 Zr 3.77
I  0.0000  0.5000  0.5000  2 Re 2.66
I  0.5000  0.0000  0.5000  2 Re 2.66

**Formation energy from raw total energies**: 897.8 meV/atom
**SG**: P4/mmm (123)

---

no.,VASP energy (eV/atom)
1,-4.70
2,-3.73
3,-6.28
4,-5.44
5,-7.03
6,-3.95
7,-6.10
8,-4.25
9,-7.45
10,-4.35
11,-6.19
12,-4.72